Here is a relaxed Ac4In3Pb crystal from Alexandria via LeMat-Bulk. Energies are from PBE.

Calculated values
**VASP energy**: -4.015 eV/atom
**Space-group type**: Pmm2
**ΔE_f**: -470 meV per atom

```
Ac4In3Pb
1.0
5.021 0.000 0.000
0.000 4.667 0.000
0.000 0.000 12.520
Ac In Pb
4 3 1
Direct
0.000 0.500 0.857
0.500 0.500 0.366
0.500 0.000 0.639
0.000 0.000 0.139
0.000 0.000 0.423
0.500 0.000 0.920
0.000 0.500 0.575
0.500 0.500 0.082
```